1.
An optimized crystal structure of U3SeS5. Source: Alexandria via LeMat-Bulk, functional PBE-GGA.

abc: 12.3465 8.8201 9.9637
angles: 90.00 112.58 90.00
Space group C2/m (No. 12)
Unique sites:
U  0.0000  0.0000  0.0000 (multiplicity 2)
U  0.0000  0.0000  0.5000 (multiplicity 2)
U  0.1529  0.5000  0.1751 (multiplicity 4)
U  0.1678  0.5000  0.6658 (multiplicity 4)
Se  0.1149  0.0000  0.8048 (multiplicity 4)
S  0.0000  0.3078  0.5000 (multiplicity 4)
S  0.0767  0.5000  0.8824 (multiplicity 4)
S  0.1605  0.1943  0.1733 (multiplicity 8)
S  0.2285  0.0000  0.5325 (multiplicity 4)

E_form (uncorrected), eV/atom: -1.206
Total moment, Bohr magnetons per cell: 1.13

2.
An optimized crystal structure of GdAlCoRu. Source: Alexandria via LeMat-Bulk, functional PBE-GGA.

abc: 6.3555 6.3555 6.3555
angles: 90.00 90.00 90.00
Space group F-43m (No. 216)
Unique sites:
Gd  0.0000  0.0000  0.0000 (multiplicity 4)
Al  0.0000  0.0000  0.5000 (multiplicity 4)
Co  0.2500  0.2500  0.7500 (multiplicity 4)
Ru  0.2500  0.2500  0.2500 (multiplicity 4)

Total moment, Bohr magnetons per cell: 28.47
Total energy, eV/atom: -8.826

- Number 2 is which compound?
  GdAlCoRu

- Which formula does entry 1 have?
  U3SeS5

- Which formula does entry 2 have?
  GdAlCoRu

- Number 1 is which compound?
  U3SeS5